No. 1
Th2BeCo4Ge3 (PBE, relaxed); calculated volume = 160.1 Å³ per cell; final energy = -6.601 eV/atom
1.0
4.032 0.000 0.000
0.000 4.032 0.000
0.000 0.000 9.847
Th Be Co Ge
2 1 4 3
direct
0.000 0.500 0.239
0.500 0.000 0.761
0.500 0.500 0.000
0.000 0.000 0.500
0.000 0.500 0.873
0.500 0.000 0.127
0.500 0.500 0.500
0.000 0.000 0.000
0.000 0.500 0.630
0.500 0.000 0.370


No. 2
Th2BeCo3Ge4 (PBE, relaxed); calculated volume = 165.6 Å³ per cell; final energy = -6.399 eV/atom
1.0
4.123 0.000 0.000
0.000 4.123 0.000
0.000 0.000 9.742
Th Be Co Ge
2 1 3 4
direct
0.000 0.500 0.250
0.500 0.000 0.750
0.000 0.000 0.500
0.000 0.500 0.874
0.500 0.000 0.126
0.500 0.500 0.500
0.000 0.000 0.000
0.000 0.500 0.630
0.500 0.000 0.370
0.500 0.500 0.000


No. 3
BeTlCoGe2 (PBE, relaxed); calculated volume = 91.8 Å³ per cell; final energy = -4.222 eV/atom
1.0
4.578 0.000 0.000
0.000 4.578 0.000
0.000 0.000 4.382
Be Tl Co Ge
1 1 1 2
direct
0.000 0.000 0.000
0.500 0.500 0.000
0.000 0.000 0.500
0.000 0.500 0.500
0.500 0.000 0.500


No. 4
Tm2BeCo6Ge (PBE, relaxed); calculated volume = 143.6 Å³ per cell; final energy = -5.961 eV/atom
1.0
0.000 4.156 4.156
4.156 0.000 4.156
4.156 4.156 0.000
Tm Be Co Ge
2 1 6 1
direct
0.250 0.250 0.250
0.750 0.750 0.750
0.000 0.000 0.000
0.235 0.235 0.765
0.235 0.765 0.235
0.235 0.765 0.765
0.765 0.235 0.235
0.765 0.235 0.765
0.765 0.765 0.235
0.500 0.500 0.500


No. 5
UBe2Co4Ge (PBE, relaxed); calculated volume = 95.2 Å³ per cell; final energy = -6.680 eV/atom
1.0
1.879 1.085 7.784
-1.879 1.085 7.784
0.000 -2.169 7.784
U Be Co Ge
1 2 4 1
direct
0.000 0.000 0.000
0.237 0.237 0.237
0.763 0.763 0.763
0.129 0.129 0.129
0.398 0.398 0.398
0.602 0.602 0.602
0.871 0.871 0.871
0.500 0.500 0.500


No. 6
U2BeCo4Ge3 (PBE, relaxed); calculated volume = 146.8 Å³ per cell; final energy = -7.169 eV/atom
1.0
3.812 0.000 0.000
0.000 3.812 0.000
0.000 0.000 10.104
U Be Co Ge
2 1 4 3
direct
0.000 0.500 0.236
0.500 0.000 0.764
0.500 0.500 0.000
0.000 0.000 0.500
0.000 0.500 0.861
0.500 0.000 0.139
0.500 0.500 0.500
0.000 0.000 0.000
0.000 0.500 0.631
0.500 0.000 0.369


No. 7
BeVCoGe (PBE, relaxed); calculated volume = 46.6 Å³ per cell; final energy = -6.259 eV/atom
1.0
0.000 2.857 2.857
2.857 0.000 2.857
2.857 2.857 0.000
Be V Co Ge
1 1 1 1
direct
0.000 0.000 0.000
0.250 0.250 0.250
0.750 0.750 0.750
0.500 0.500 0.500


No. 8
Be2Co5GeW2 (PBE, relaxed); calculated volume = 221.1 Å³ per cell; final energy = -7.469 eV/atom
1.0
8.889 0.000 0.000
0.000 8.889 0.000
0.000 0.000 2.799
Be Co Ge W
4 10 2 4
direct
0.123 0.377 0.000
0.377 0.877 0.000
0.623 0.123 0.000
0.877 0.623 0.000
0.000 0.500 0.500
0.057 0.208 0.500
0.208 0.943 0.500
0.292 0.443 0.500
0.443 0.708 0.500
0.500 0.000 0.500
0.557 0.292 0.500
0.708 0.557 0.500
0.792 0.057 0.500
0.943 0.792 0.500
0.000 0.000 0.000
0.500 0.500 0.000
0.177 0.677 0.000
0.323 0.177 0.000
0.677 0.823 0.000
0.823 0.323 0.000